Entry 1:
CaWN3: relaxed, PBE-GGA.

Cell and atoms, written as POSCAR:
```
CaWN3
1.0
5.388 0.000 0.000
-2.685 5.216 0.000
-0.098 -3.072 5.026
Ca W N
2 2 6
Cartesian
0.090 -0.015 1.867
2.516 2.159 3.159
-0.024 3.206 0.299
2.629 -1.062 4.727
-1.733 3.041 1.200
-0.483 2.282 4.410
1.072 2.094 1.252
1.534 0.050 3.774
3.088 -0.138 0.616
4.338 -0.897 3.826
```

Summary:
Space group = No. 2
Raw formation energy = -574 meV per atom

---

Entry 2:
CaWN3: relaxed, PBE-GGA.

Cell and atoms, written as POSCAR:
```
CaWN3
1.0
3.581 0.000 0.000
-0.058 6.266 0.000
-0.315 -1.233 6.176
Ca W N
2 2 6
Cartesian
-0.068 0.982 1.825
3.277 4.051 4.351
1.436 1.189 4.874
1.772 3.844 1.302
-0.029 3.399 1.965
1.493 -0.362 3.673
1.730 1.818 0.474
1.479 3.215 5.702
1.715 5.395 2.504
3.237 1.634 4.212
```

Summary:
Space group = No. 2
Raw formation energy = -612 meV per atom

---

Entry 3:
CaWN3: relaxed, PBE-GGA.

Cell and atoms, written as POSCAR:
```
CaWN3
1.0
5.589 0.000 0.000
-0.137 5.751 0.000
-1.744 -2.820 4.939
Ca W N
2 2 6
Cartesian
0.752 1.597 0.999
2.956 1.334 3.941
0.479 -1.481 2.975
3.229 4.412 1.964
-1.211 -0.588 3.510
0.606 -2.510 4.570
1.643 -0.081 2.608
2.064 3.012 2.331
3.102 5.440 0.369
4.918 3.519 1.429
```

Summary:
Space group = No. 2
Raw formation energy = -597 meV per atom

---

Entry 4:
Ca4WN5: relaxed, PBE-GGA.

Cell and atoms, written as POSCAR:
```
Ca4WN5
1.0
-3.750 3.750 2.548
3.750 -3.750 2.548
3.750 3.750 -2.548
Ca W N
4 1 5
Cartesian
2.241 0.761 0.000
2.989 -1.508 2.548
0.761 5.258 0.000
1.508 2.989 2.548
0.000 0.000 2.833
4.374 1.817 -0.043
1.817 3.126 -0.043
1.932 0.624 2.505
-0.624 1.932 2.505
0.000 0.000 4.679
```

Summary:
Space group = No. 79
Raw formation energy = -882 meV per atom